(1)
The following is a PBE calculation of RbCa3Ac2Te6 after structural relaxation, from Alexandria via LeMat-Bulk.

Geometry as POSCAR:
```
RbCa3Ac2Te6
1.0
10.1907 -2.3253 0.0000
10.1907 2.3253 0.0000
-2.1680 0.0000 9.2432
Rb Ca Ac Te
1 3 2 6
Direct
0.0000 0.0000 0.0000
0.0000 0.0000 0.5000
0.3374 0.3374 0.1664
0.6626 0.6626 0.8336
0.3357 0.3357 0.6687
0.6643 0.6643 0.3313
0.1656 0.1656 0.5915
0.1769 0.1769 0.0822
0.4983 0.4983 0.2748
0.5017 0.5017 0.7252
0.8231 0.8231 0.9178
0.8344 0.8344 0.4085
```

Symmetry = C2/m (12)
Raw formation energy = -1.518 eV/atom
Spin magnetization = 0.000 μB per atom

---

(2)
The following is a PBE calculation of Ca3Ac3Rh4 after structural relaxation, from Alexandria via LeMat-Bulk.

Geometry as POSCAR:
```
Ca3Ac3Rh4
1.0
4.0364 0.0000 0.0000
0.0000 5.6898 5.8052
0.0000 -5.6898 5.8052
Ca Ac Rh
3 3 4
Direct
0.0000 0.0000 0.0000
0.5000 0.3315 0.8485
0.5000 0.8485 0.3315
0.0000 0.1839 0.5008
0.0000 0.5008 0.1839
0.0000 0.6912 0.6912
0.5000 0.2071 0.2071
0.5000 0.4851 0.4851
0.5000 0.7001 0.9808
0.5000 0.9808 0.7001
```

Symmetry = Amm2 (38)
Spin magnetization = 0.000 μB per atom
ΔE_f = -0.483 eV per atom

---

(3)
The following is a PBE calculation of Ca2AcRh after structural relaxation, from Alexandria via LeMat-Bulk.

Geometry as POSCAR:
```
Ca2AcRh
1.0
3.5903 0.0000 0.0000
0.0000 3.5903 0.0000
0.0000 0.0000 9.6966
Ca Ac Rh
2 1 1
Direct
0.0000 0.0000 0.1678
0.0000 0.0000 0.8322
0.5000 0.5000 0.5000
0.5000 0.5000 0.0000
```

Symmetry = P4/mmm (123)
Spin magnetization = 0.000 μB per atom
ΔE_f = -0.143 eV per atom